Entry 1:
## Cu3SbS (GGA-PBE)

Data for crystalline Cu3SbS at its relaxed geometry.

Unit cell a=4.473 b=4.473 c=4.473 alpha=90.00 beta=90.00 gamma=90.00
Sites, in units of the cell vectors:
Sb 0.500 0.500 0.500
Cu 0.000 0.000 0.500
Cu 0.000 0.500 0.000
Cu 0.500 0.000 0.000
S 0.000 0.000 0.000

As for the uncorrected formation energy: 0.3091 eV per atom. The value obtained for the total energy is -19.0 eV per formula unit. The calculation puts the volume at 17.893 A^3/atom. The calculation puts the energy relative to the lowest polymorph listed for this composition at 0 meV per atom. Its space group is Pm-3m, No. 221.

Entry 2:
## CuSbS2 (GGA-PBE)

Data for crystalline CuSbS2 at its relaxed geometry.

Unit cell a=5.836 b=5.836 c=6.970 alpha=65.25 beta=65.25 gamma=90.00
Sites, in units of the cell vectors:
Cu 0.500 0.500 0.000
S 0.875 0.821 0.750
S 0.179 0.625 0.250
S 0.375 0.429 0.750
Sb 0.000 0.000 0.000
S 0.571 0.125 0.250
Cu 0.250 0.750 0.500
Sb 0.750 0.250 0.500

As for the uncorrected formation energy: -0.0762 eV per atom. The value obtained for the total energy is -16.8 eV per formula unit. The calculation puts the volume at 23.913 A^3/atom. Its space group is I-42d, No. 122.

Entry 3:
## CuSbS2 (GGA-PBE)

Data for crystalline CuSbS2 at its relaxed geometry.

Unit cell a=8.106 b=8.106 c=8.106 alpha=24.73 beta=24.73 gamma=24.73
Sites, in units of the cell vectors:
Sb 0.000 0.000 0.000
S 0.887 0.887 0.887
S 0.113 0.113 0.113
Cu 0.500 0.500 0.500

As for the uncorrected formation energy: 0.0421 eV per atom. The value obtained for the total energy is -16.3 eV per formula unit. The calculation puts the volume at 20.496 A^3/atom. Its space group is R-3m, No. 166.

Entry 4:
## Cu2SbS (GGA-PBE)

Data for crystalline Cu2SbS at its relaxed geometry.

Unit cell a=5.924 b=5.924 c=6.309 alpha=62.00 beta=62.00 gamma=90.00
Sites, in units of the cell vectors:
Sb 0.000 0.000 0.000
S 0.500 0.500 0.000
Cu 0.375 0.424 0.750
S 0.250 0.750 0.500
Cu 0.576 0.125 0.250
Cu 0.875 0.826 0.750
Cu 0.174 0.625 0.250
Sb 0.750 0.250 0.500

As for the uncorrected formation energy: 0.0089 eV per atom. The value obtained for the total energy is -16.4 eV per formula unit. The calculation puts the volume at 20.698 A^3/atom. Its space group is I-42d, No. 122.

Entry 5:
## ScCuSb2S5 (GGA-PBE)

Data for crystalline ScCuSb2S5 at its relaxed geometry.

Unit cell a=3.799 b=9.639 c=11.904 alpha=90.00 beta=90.00 gamma=101.37
Sites, in units of the cell vectors:
Sb 0.079 0.159 0.266
Cu 0.576 0.152 0.952
S 0.060 0.121 0.058
S 0.295 0.591 0.668
Cu 0.424 0.848 0.452
Sc 0.804 0.607 0.514
S 0.705 0.409 0.168
Sb 0.836 0.672 0.178
S 0.688 0.377 0.871
S 0.940 0.879 0.558
S 0.312 0.623 0.371
Sb 0.921 0.841 0.766
S 0.489 0.978 0.289
S 0.511 0.022 0.789
Sc 0.196 0.393 0.014
S 0.664 0.328 0.529
S 0.336 0.672 0.029
Sb 0.164 0.328 0.678

As for the uncorrected formation energy: -0.7043 eV per atom. The value obtained for the total energy is -45.6 eV per formula unit. The calculation puts the volume at 23.744 A^3/atom. Its space group is Cmc2_1, No. 36.

Entry 6:
## Cu2SbSeS2 (GGA-PBE)

Data for crystalline Cu2SbSeS2 at its relaxed geometry.

Unit cell a=6.242 b=7.455 c=6.829 alpha=123.08 beta=90.00 gamma=90.00
Sites, in units of the cell vectors:
Se 0.192 0.233 0.000
S 0.685 0.174 0.625
Se 0.692 0.767 0.000
Cu 0.320 0.165 0.626
Cu 0.820 0.835 0.374
S 0.685 0.549 0.375
S 0.185 0.451 0.625
Cu 0.820 0.462 0.626
Sb 0.773 0.194 0.000
Sb 0.273 0.806 0.000
S 0.185 0.826 0.375
Cu 0.320 0.538 0.374

As for the uncorrected formation energy: -0.1821 eV per atom. The value obtained for the total energy is -25.1 eV per formula unit. The calculation puts the volume at 22.190 A^3/atom. Its space group is Cmc2_1, No. 36.

Entry 7:
## CuSnSbS4 (GGA-PBE)

Data for crystalline CuSnSbS4 at its relaxed geometry.

Unit cell a=7.736 b=7.602 c=7.602 alpha=59.66 beta=59.41 gamma=59.41
Sites, in units of the cell vectors:
S 0.258 0.235 0.250
Cu 0.380 0.370 0.870
S 0.258 0.750 0.735
S 0.749 0.245 0.745
S 0.742 0.250 0.265
Sn 0.500 0.000 0.500
Sb 0.000 0.500 0.500
S 0.742 0.765 0.750
Sn 0.000 0.000 0.500
Cu 0.620 0.630 0.130
S 0.260 0.245 0.745
S 0.740 0.755 0.255
Sb 0.000 0.000 0.000
S 0.251 0.755 0.255

As for the uncorrected formation energy: -0.2729 eV per atom. The value obtained for the total energy is -30.6 eV per formula unit. The calculation puts the volume at 22.318 A^3/atom. Its space group is Imma, No. 74.

Entry 8:
## SrCu2SbS4 (GGA-PBE)

Data for crystalline SrCu2SbS4 at its relaxed geometry.

Unit cell a=6.492 b=6.267 c=6.267 alpha=70.35 beta=58.80 gamma=58.80
Sites, in units of the cell vectors:
Sr 0.000 0.000 0.000
S 0.928 0.499 0.120
S 0.453 0.120 0.499
Sb 0.500 0.500 0.500
Cu 0.827 0.673 0.673
S 0.547 0.501 0.880
Cu 0.173 0.327 0.327
S 0.072 0.880 0.501

As for the uncorrected formation energy: -0.5776 eV per atom. The value obtained for the total energy is -35.1 eV per formula unit. The calculation puts the volume at 23.218 A^3/atom. Its space group is I222, No. 23.

Entry 9:
## Sr2Cu2SbS6 (GGA-PBE)

Data for crystalline Sr2Cu2SbS6 at its relaxed geometry.

Unit cell a=7.033 b=7.033 c=7.487 alpha=61.99 beta=61.99 gamma=60.00
Sites, in units of the cell vectors:
S 0.222 0.755 0.268
S 0.755 0.755 0.268
Sb 0.000 0.000 0.000
S 0.755 0.222 0.268
S 0.245 0.245 0.732
Cu 0.589 0.589 0.234
Cu 0.411 0.411 0.766
S 0.778 0.245 0.732
S 0.245 0.778 0.732
Sr 0.783 0.783 0.651
Sr 0.217 0.217 0.349

As for the uncorrected formation energy: -0.6985 eV per atom. The value obtained for the total energy is -48.1 eV per formula unit. The calculation puts the volume at 24.495 A^3/atom. Its space group is R-3m, No. 166.

Entry 10:
## SrCuSb2S4 (GGA-PBE)

Data for crystalline SrCuSb2S4 at its relaxed geometry.

Unit cell a=4.241 b=6.676 c=13.665 alpha=90.00 beta=90.00 gamma=108.52
Sites, in units of the cell vectors:
S 0.270 0.540 0.382
S 0.000 0.000 0.500
Sb 0.626 0.253 0.450
S 0.000 0.000 0.000
Sb 0.374 0.747 0.950
S 0.730 0.460 0.882
Sb 0.374 0.747 0.550
Sr 0.120 0.240 0.750
S 0.558 0.116 0.250
Cu 0.857 0.714 0.750
Cu 0.143 0.286 0.250
S 0.270 0.540 0.118
S 0.442 0.884 0.750
Sb 0.626 0.253 0.050
S 0.730 0.460 0.618
Sr 0.880 0.760 0.250

As for the uncorrected formation energy: -0.5915 eV per atom. The value obtained for the total energy is -35.3 eV per formula unit. The calculation puts the volume at 22.928 A^3/atom. Its space group is Cmcm, No. 63.

Entry 11:
## CuSb2TeS (GGA-PBE)

Data for crystalline CuSb2TeS at its relaxed geometry.

Unit cell a=5.209 b=5.209 c=5.198 alpha=90.00 beta=90.00 gamma=90.00
Sites, in units of the cell vectors:
Te 0.000 0.000 0.500
S 0.000 0.000 0.000
Sb 0.000 0.500 0.000
Cu 0.500 0.500 0.500
Sb 0.500 0.000 0.000

As for the uncorrected formation energy: 0.8157 eV per atom. The value obtained for the total energy is -15.5 eV per formula unit. The calculation puts the volume at 28.204 A^3/atom. The calculation puts the energy relative to the lowest polymorph listed for this composition at 183 meV per atom. Its space group is P4/mmm, No. 123.

Entry 12:
## CuSb2TeS (GGA-PBE)

Data for crystalline CuSb2TeS at its relaxed geometry.

Unit cell a=5.141 b=5.141 c=4.935 alpha=90.00 beta=90.00 gamma=90.00
Sites, in units of the cell vectors:
Te 0.000 0.000 0.500
Cu 0.000 0.000 0.000
S 0.500 0.500 0.500
Sb 0.000 0.500 0.000
Sb 0.500 0.000 0.000

As for the uncorrected formation energy: 0.6326 eV per atom. The value obtained for the total energy is -16.4 eV per formula unit. The calculation puts the volume at 26.093 A^3/atom. The calculation puts the energy relative to the lowest polymorph listed for this composition at 0 meV per atom. Its space group is P4/mmm, No. 123.

Entry 13:
## ThCuSbS (GGA-PBE)

Data for crystalline ThCuSbS at its relaxed geometry.

Unit cell a=4.456 b=4.456 c=8.855 alpha=90.00 beta=90.00 gamma=90.00
Sites, in units of the cell vectors:
Sb 0.500 0.000 0.168
S 0.000 0.000 0.500
Th 0.000 0.500 0.304
Th 0.500 0.000 0.696
Sb 0.000 0.500 0.832
Cu 0.000 0.000 0.000
S 0.500 0.500 0.500
Cu 0.500 0.500 0.000

As for the uncorrected formation energy: -1.0168 eV per atom. The value obtained for the total energy is -23.8 eV per formula unit. The calculation puts the volume at 21.976 A^3/atom. Its space group is P4/nmm, No. 129.

Entry 14:
## TlCuSbS3 (GGA-PBE)

Data for crystalline TlCuSbS3 at its relaxed geometry.

Unit cell a=3.912 b=7.016 c=10.485 alpha=90.00 beta=90.00 gamma=106.19
Sites, in units of the cell vectors:
S 0.367 0.734 0.956
S 0.633 0.266 0.456
S 0.367 0.734 0.544
Sb 0.000 0.000 0.500
Tl 0.726 0.452 0.750
S 0.031 0.061 0.750
Cu 0.422 0.845 0.750
Cu 0.578 0.155 0.250
Tl 0.274 0.548 0.250
Sb 0.000 0.000 0.000
S 0.633 0.266 0.044
S 0.969 0.939 0.250

As for the uncorrected formation energy: -0.2244 eV per atom. The value obtained for the total energy is -24.3 eV per formula unit. The calculation puts the volume at 23.031 A^3/atom. Its space group is Cmcm, No. 63.

Entry 15:
## Tl3CuSb3S8 (GGA-PBE)

Data for crystalline Tl3CuSb3S8 at its relaxed geometry.

Unit cell a=7.526 b=7.851 c=8.844 alpha=117.31 beta=90.00 gamma=118.64
Sites, in units of the cell vectors:
S 0.720 0.440 0.263
Cu 0.000 0.000 0.500
Tl 0.000 0.500 0.000
S 0.734 0.468 0.708
S 0.266 0.532 0.292
S 0.280 0.560 0.737
Sb 0.000 0.500 0.500
S 0.228 0.031 0.327
Tl 0.500 0.500 0.000
S 0.197 0.969 0.673
Sb 0.500 0.000 0.500
S 0.772 0.969 0.673
Tl 0.000 0.000 0.000
S 0.803 0.031 0.327
Sb 0.500 0.500 0.500

As for the uncorrected formation energy: -0.1854 eV per atom. The value obtained for the total energy is -59.4 eV per formula unit. The calculation puts the volume at 26.066 A^3/atom. Its space group is C2/m, No. 12.

Entry 16:
## Tl2Cu2SbS4 (GGA-PBE)

Data for crystalline Tl2Cu2SbS4 at its relaxed geometry.

Unit cell a=3.869 b=7.630 c=7.560 alpha=109.06 beta=104.83 gamma=90.00
Sites, in units of the cell vectors:
Cu 0.308 0.002 0.617
Tl 0.866 0.443 0.733
Sb 0.000 0.000 0.000
S 0.802 0.826 0.605
Tl 0.134 0.557 0.267
S 0.470 0.226 0.941
S 0.530 0.774 0.059
S 0.198 0.174 0.395
Cu 0.692 0.998 0.383

As for the uncorrected formation energy: -0.2734 eV per atom. The value obtained for the total energy is -36.0 eV per formula unit. The calculation puts the volume at 22.561 A^3/atom. Its space group is C2/m, No. 12.

Entry 17:
## Tl4CuSb3S8 (GGA-PBE)

Data for crystalline Tl4CuSb3S8 at its relaxed geometry.

Unit cell a=7.937 b=8.482 c=7.955 alpha=117.98 beta=119.93 gamma=90.00
Sites, in units of the cell vectors:
Tl 0.000 0.000 0.500
S 0.225 0.701 0.975
Sb 0.000 0.500 0.500
Tl 0.000 0.000 0.000
S 0.750 0.701 0.975
S 0.262 0.286 0.524
S 0.228 0.703 0.456
Sb 0.500 0.500 0.000
S 0.772 0.297 0.544
Sb 0.500 0.500 0.500
Tl 0.500 0.000 0.000
S 0.250 0.299 0.025
Tl 0.500 0.000 0.500
S 0.738 0.714 0.476
S 0.775 0.299 0.025
Cu 0.000 0.500 0.000

As for the uncorrected formation energy: -0.2255 eV per atom. The value obtained for the total energy is -62.6 eV per formula unit. The calculation puts the volume at 24.389 A^3/atom. Its space group is C2/m, No. 12.

Entry 18:
## TmCuSb2S5 (GGA-PBE)

Data for crystalline TmCuSb2S5 at its relaxed geometry.

Unit cell a=3.865 b=9.863 c=11.950 alpha=90.00 beta=90.00 gamma=101.30
Sites, in units of the cell vectors:
Sb 0.922 0.845 0.766
Cu 0.574 0.148 0.955
Sb 0.838 0.676 0.175
S 0.491 0.982 0.292
S 0.940 0.881 0.559
S 0.340 0.679 0.027
Sb 0.078 0.155 0.266
Cu 0.426 0.852 0.455
S 0.509 0.018 0.792
S 0.682 0.363 0.864
Tm 0.801 0.602 0.513
S 0.709 0.419 0.173
S 0.660 0.321 0.527
Tm 0.199 0.398 0.013
S 0.291 0.581 0.673
Sb 0.162 0.324 0.675
S 0.318 0.637 0.364
S 0.060 0.119 0.059

As for the uncorrected formation energy: -0.7403 eV per atom. The value obtained for the total energy is -44.1 eV per formula unit. The calculation puts the volume at 24.817 A^3/atom. Its space group is Cmc2_1, No. 36.

Entry 19:
## ZnCuSbS4 (GGA-PBE)

Data for crystalline ZnCuSbS4 at its relaxed geometry.

Unit cell a=7.042 b=7.543 c=7.543 alpha=57.41 beta=62.18 gamma=62.18
Sites, in units of the cell vectors:
Zn 0.340 0.410 0.910
Sb 0.000 0.000 0.000
S 0.237 0.796 0.730
S 0.763 0.204 0.270
S 0.237 0.230 0.296
S 0.763 0.770 0.704
S 0.266 0.252 0.752
S 0.734 0.748 0.248
S 0.269 0.748 0.248
Sb 0.000 0.500 0.500
Zn 0.660 0.590 0.090
Cu 0.000 0.000 0.500
S 0.731 0.252 0.752
Cu 0.500 0.000 0.500

As for the uncorrected formation energy: -0.2374 eV per atom. The value obtained for the total energy is -27.7 eV per formula unit. The calculation puts the volume at 20.418 A^3/atom. Its space group is Imma, No. 74.

Entry 20:
## Zn2Cu10Sb4S13 (GGA-PBE)

Data for crystalline Zn2Cu10Sb4S13 at its relaxed geometry.

Unit cell a=9.058 b=9.058 c=9.058 alpha=109.74 beta=109.74 gamma=108.94
Sites, in units of the cell vectors:
S 0.252 0.490 0.000
Cu 0.000 0.222 0.222
Sb 0.467 0.467 0.459
Cu 0.750 0.250 0.500
S 0.229 0.752 0.749
Zn 0.229 0.229 0.000
Cu 0.500 0.756 0.256
Cu 0.250 0.750 0.500
S 0.752 0.229 0.749
S 0.510 0.510 0.761
S 0.248 0.997 0.477
S 0.771 0.520 0.523
Sb 0.008 0.008 0.541
Cu 0.222 0.000 0.222
S 0.997 0.248 0.477
Cu 0.778 0.000 0.778
Zn 0.771 0.771 0.000
S 0.003 0.480 0.251
S 0.000 0.000 0.000
Sb 0.992 0.533 0.000
Sb 0.533 0.992 0.000
S 0.520 0.771 0.523
Cu 0.244 0.500 0.744
Cu 0.000 0.778 0.778
S 0.748 0.748 0.239
S 0.480 0.003 0.251
S 0.490 0.252 0.000
Cu 0.756 0.500 0.256
Cu 0.500 0.244 0.744

As for the uncorrected formation energy: -0.2629 eV per atom. The value obtained for the total energy is -121.3 eV per formula unit. The calculation puts the volume at 19.727 A^3/atom. Its space group is I-42m, No. 121.